A relaxed GaFe3Ir crystal. Source: Alexandria, functional PBE.

Cell and atoms, written as CIF:
```
data_GaFe3Ir
_chemical_formula_sum 'Ga1 Fe3 Ir1'
_cell_length_a 4.385
_cell_length_b 4.385
_cell_length_c 4.385
_cell_angle_alpha 90.00
_cell_angle_beta 90.00
_cell_angle_gamma 90.00
_symmetry_space_group_name_H-M 'P m -3 m'
_symmetry_Int_Tables_number 221
_symmetry_space_group_name_Hall '-P 4 2 3'
loop_
_atom_site_label
_atom_site_type_symbol
_atom_site_fract_x
_atom_site_fract_y
_atom_site_fract_z
Ga1 Ga 0.000 0.000 0.000
Fe1 Fe 0.000 0.000 0.500
Ir1 Ir 0.500 0.500 0.500
```

## Properties
**Formation energy**: 1217.4 meV per atom
**Polymorph energy (0 for the lowest one)**: 566 meV/atom
**Total magnetization**: 8.72 μB/f.u.